# 1
## LuBeNbOs (PBE)

Data for LuBeNbOs after structural relaxation.

Output
ΔE to the lowest computed polymorph = 0.000 eV/atom

Cell: 6.446 6.446 6.446 Å, 90.00 90.00 90.00°
Space group F-43m (No. 216)
Asymmetric unit:
Lu: 0.000 0.000 0.000 [4 per cell]
Be: 0.250 0.250 0.250 [4 per cell]
Nb: 0.000 0.000 0.500 [4 per cell]
Os: 0.250 0.250 0.750 [4 per cell]

***

# 2
## LuBeNi2 (PBE)

Data for LuBeNi2 after structural relaxation.

Output
Total energy = -4.91 eV/atom

Cell: 6.058 6.058 6.058 Å, 90.00 90.00 90.00°
Space group F-43m (No. 216)
Asymmetric unit:
Lu: 0.000 0.000 0.000 [4 per cell]
Be: 0.250 0.250 0.750 [4 per cell]
Ni: 0.000 0.000 0.500 [4 per cell]
Ni: 0.250 0.250 0.250 [4 per cell]

***

# 3
## LuBeNiPb (PBE)

Data for LuBeNiPb after structural relaxation.

Output
ΔE to the lowest computed polymorph = 0.182 eV/atom

Cell: 6.589 6.589 6.589 Å, 90.00 90.00 90.00°
Space group F-43m (No. 216)
Asymmetric unit:
Lu: 0.000 0.000 0.000 [4 per cell]
Be: 0.250 0.250 0.750 [4 per cell]
Ni: 0.000 0.000 0.500 [4 per cell]
Pb: 0.250 0.250 0.250 [4 per cell]

***

# 4
## LuBeNiPb (PBE)

Data for LuBeNiPb after structural relaxation.

Output
ΔE to the lowest computed polymorph = 0.000 eV/atom

Cell: 6.530 6.530 6.530 Å, 90.00 90.00 90.00°
Space group F-43m (No. 216)
Asymmetric unit:
Lu: 0.000 0.000 0.000 [4 per cell]
Be: 0.250 0.250 0.250 [4 per cell]
Ni: 0.250 0.250 0.750 [4 per cell]
Pb: 0.000 0.000 0.500 [4 per cell]

***

# 5
## LuBeNiSb (PBE)

Data for LuBeNiSb after structural relaxation.

Output
ΔE to the lowest computed polymorph = 0.169 eV/atom

Cell: 6.555 6.555 6.555 Å, 90.00 90.00 90.00°
Space group F-43m (No. 216)
Asymmetric unit:
Lu: 0.000 0.000 0.000 [4 per cell]
Be: 0.250 0.250 0.750 [4 per cell]
Ni: 0.000 0.000 0.500 [4 per cell]
Sb: 0.250 0.250 0.250 [4 per cell]

***

# 6
## LuBeNiSb (PBE)

Data for LuBeNiSb after structural relaxation.

Output
ΔE to the lowest computed polymorph = 0.000 eV/atom

Cell: 6.435 6.435 6.435 Å, 90.00 90.00 90.00°
Space group F-43m (No. 216)
Asymmetric unit:
Lu: 0.000 0.000 0.000 [4 per cell]
Be: 0.250 0.250 0.250 [4 per cell]
Ni: 0.250 0.250 0.750 [4 per cell]
Sb: 0.000 0.000 0.500 [4 per cell]

***

# 7
## LuScBeNi (PBE)

Data for LuScBeNi after structural relaxation.

Output
ΔE to the lowest computed polymorph = 0.223 eV/atom

Cell: 6.316 6.316 6.316 Å, 90.00 90.00 90.00°
Space group F-43m (No. 216)
Asymmetric unit:
Lu: 0.000 0.000 0.000 [4 per cell]
Sc: 0.250 0.250 0.250 [4 per cell]
Be: 0.000 0.000 0.500 [4 per cell]
Ni: 0.250 0.250 0.750 [4 per cell]

***

# 8
## LuScBeNi (PBE)

Data for LuScBeNi after structural relaxation.

Output
ΔE to the lowest computed polymorph = 0.000 eV/atom

Cell: 6.468 6.468 6.468 Å, 90.00 90.00 90.00°
Space group F-43m (No. 216)
Asymmetric unit:
Lu: 0.000 0.000 0.000 [4 per cell]
Sc: 0.000 0.000 0.500 [4 per cell]
Be: 0.250 0.250 0.750 [4 per cell]
Ni: 0.250 0.250 0.250 [4 per cell]

***

# 9
## LuBeSiNi (PBE)

Data for LuBeSiNi after structural relaxation.

Output
ΔE to the lowest computed polymorph = 0.000 eV/atom

Cell: 6.040 6.040 6.040 Å, 90.00 90.00 90.00°
Space group F-43m (No. 216)
Asymmetric unit:
Lu: 0.000 0.000 0.000 [4 per cell]
Be: 0.250 0.250 0.250 [4 per cell]
Si: 0.000 0.000 0.500 [4 per cell]
Ni: 0.250 0.250 0.750 [4 per cell]

***

# 10
## LuBeSiNi (PBE)

Data for LuBeSiNi after structural relaxation.

Output
ΔE to the lowest computed polymorph = 0.125 eV/atom

Cell: 6.101 6.101 6.101 Å, 90.00 90.00 90.00°
Space group F-43m (No. 216)
Asymmetric unit:
Lu: 0.000 0.000 0.000 [4 per cell]
Be: 0.250 0.250 0.750 [4 per cell]
Si: 0.250 0.250 0.250 [4 per cell]
Ni: 0.000 0.000 0.500 [4 per cell]

***

# 11
## LuBeNiSn (PBE)

Data for LuBeNiSn after structural relaxation.

Output
ΔE to the lowest computed polymorph = 0.249 eV/atom

Cell: 6.472 6.472 6.472 Å, 90.00 90.00 90.00°
Space group F-43m (No. 216)
Asymmetric unit:
Lu: 0.000 0.000 0.000 [4 per cell]
Be: 0.250 0.250 0.750 [4 per cell]
Ni: 0.000 0.000 0.500 [4 per cell]
Sn: 0.250 0.250 0.250 [4 per cell]

***

# 12
## LuBeNiSn (PBE)

Data for LuBeNiSn after structural relaxation.

Output
ΔE to the lowest computed polymorph = 0.000 eV/atom

Cell: 6.377 6.377 6.377 Å, 90.00 90.00 90.00°
Space group F-43m (No. 216)
Asymmetric unit:
Lu: 0.000 0.000 0.000 [4 per cell]
Be: 0.250 0.250 0.250 [4 per cell]
Ni: 0.250 0.250 0.750 [4 per cell]
Sn: 0.000 0.000 0.500 [4 per cell]

***

# 13
## YLuBeNi (PBE)

Data for YLuBeNi after structural relaxation.

Output
ΔE to the lowest computed polymorph = 0.000 eV/atom

Cell: 6.732 6.732 6.732 Å, 90.00 90.00 90.00°
Space group F-43m (No. 216)
Asymmetric unit:
Y: 0.000 0.000 0.000 [4 per cell]
Lu: 0.000 0.000 0.500 [4 per cell]
Be: 0.250 0.250 0.250 [4 per cell]
Ni: 0.250 0.250 0.750 [4 per cell]

***

# 14
## LuBeZnNi (PBE)

Data for LuBeZnNi after structural relaxation.

Output
ΔE to the lowest computed polymorph = 0.000 eV/atom

Cell: 6.170 6.170 6.170 Å, 90.00 90.00 90.00°
Space group F-43m (No. 216)
Asymmetric unit:
Lu: 0.000 0.000 0.000 [4 per cell]
Be: 0.250 0.250 0.250 [4 per cell]
Zn: 0.000 0.000 0.500 [4 per cell]
Ni: 0.250 0.250 0.750 [4 per cell]

***

# 15
## LuNpBe (PBE)

Data for LuNpBe after structural relaxation.

Output
ΔE to the lowest computed polymorph = 0.000 eV/atom

Cell: 6.509 6.509 6.509 Å, 90.00 90.00 90.00°
Space group F-43m (No. 216)
Asymmetric unit:
Lu: 0.000 0.000 0.000 [4 per cell]
Np: 0.000 0.000 0.500 [4 per cell]
Be: 0.250 0.250 0.250 [4 per cell]

***

# 16
## Lu2BeO4 (PBE)

Data for Lu2BeO4 after structural relaxation.

Output
Total energy = -7.66 eV/atom

Cell: 8.688 8.688 8.688 Å, 90.00 90.00 90.00°
Space group Fd-3m (No. 227, origin choice 2)
Asymmetric unit:
Lu: 0.000 0.000 0.000 [16 per cell]
Be: 0.125 0.125 0.625 [8 per cell]
O: 0.004 0.004 0.746 [32 per cell]

***

# 17
## LuBeOs (PBE)

Data for LuBeOs after structural relaxation.

Output
ΔE to the lowest computed polymorph = 0.000 eV/atom

Cell: 6.091 6.091 6.091 Å, 90.00 90.00 90.00°
Space group F-43m (No. 216)
Asymmetric unit:
Lu: 0.000 0.000 0.000 [4 per cell]
Be: 0.000 0.000 0.500 [4 per cell]
Os: 0.250 0.250 0.750 [4 per cell]

***

# 18
## Lu2BeOs (PBE)

Data for Lu2BeOs after structural relaxation.

Output
Total energy = -5.86 eV/atom

Cell: 6.541 6.541 6.541 Å, 90.00 90.00 90.00°
Space group F-43m (No. 216)
Asymmetric unit:
Lu: 0.000 0.000 0.000 [4 per cell]
Lu: 0.250 0.250 0.250 [4 per cell]
Be: 0.000 0.000 0.500 [4 per cell]
Os: 0.250 0.250 0.750 [4 per cell]

***

# 19
## LuBeOs (PBE)

Data for LuBeOs after structural relaxation.

Output
ΔE to the lowest computed polymorph = 0.707 eV/atom

Cell: 6.211 6.211 6.211 Å, 90.00 90.00 90.00°
Space group F-43m (No. 216)
Asymmetric unit:
Lu: 0.000 0.000 0.000 [4 per cell]
Be: 0.250 0.250 0.750 [4 per cell]
Os: 0.250 0.250 0.250 [4 per cell]

***

# 20
## LuBeSbOs (PBE)

Data for LuBeSbOs after structural relaxation.

Output
ΔE to the lowest computed polymorph = 0.059 eV/atom

Cell: 6.503 6.503 6.503 Å, 90.00 90.00 90.00°
Space group F-43m (No. 216)
Asymmetric unit:
Lu: 0.000 0.000 0.000 [4 per cell]
Be: 0.250 0.250 0.250 [4 per cell]
Sb: 0.000 0.000 0.500 [4 per cell]
Os: 0.250 0.250 0.750 [4 per cell]

***

# 21
## LuBeSbOs (PBE)

Data for LuBeSbOs after structural relaxation.

Output
ΔE to the lowest computed polymorph = 0.000 eV/atom

Cell: 6.493 6.493 6.493 Å, 90.00 90.00 90.00°
Space group F-43m (No. 216)
Asymmetric unit:
Lu: 0.000 0.000 0.000 [4 per cell]
Be: 0.250 0.250 0.750 [4 per cell]
Sb: 0.250 0.250 0.250 [4 per cell]
Os: 0.000 0.000 0.500 [4 per cell]

***

# 22
## LuBeSbOs (PBE)

Data for LuBeSbOs after structural relaxation.

Output
ΔE to the lowest computed polymorph = 0.281 eV/atom

Cell: 6.576 6.576 6.576 Å, 90.00 90.00 90.00°
Space group F-43m (No. 216)
Asymmetric unit:
Lu: 0.000 0.000 0.000 [4 per cell]
Be: 0.000 0.000 0.500 [4 per cell]
Sb: 0.250 0.250 0.750 [4 per cell]
Os: 0.250 0.250 0.250 [4 per cell]

***

# 23
## LuTaBeOs (PBE)

Data for LuTaBeOs after structural relaxation.

Output
ΔE to the lowest computed polymorph = 0.035 eV/atom

Cell: 6.353 6.353 6.353 Å, 90.00 90.00 90.00°
Space group F-43m (No. 216)
Asymmetric unit:
Lu: 0.000 0.000 0.000 [4 per cell]
Ta: 0.250 0.250 0.250 [4 per cell]
Be: 0.250 0.250 0.750 [4 per cell]
Os: 0.000 0.000 0.500 [4 per cell]

***

# 24
## LuTaBeOs (PBE)

Data for LuTaBeOs after structural relaxation.

Output
ΔE to the lowest computed polymorph = 0.000 eV/atom

Cell: 6.442 6.442 6.442 Å, 90.00 90.00 90.00°
Space group F-43m (No. 216)
Asymmetric unit:
Lu: 0.000 0.000 0.000 [4 per cell]
Ta: 0.000 0.000 0.500 [4 per cell]
Be: 0.250 0.250 0.250 [4 per cell]
Os: 0.250 0.250 0.750 [4 per cell]

***

# 25
## Lu3BeP (PBE)

Data for Lu3BeP after structural relaxation.

Output
Total energy = -4.63 eV/atom

Cell: 5.084 5.084 5.084 Å, 90.00 90.00 90.00°
Space group Pm-3m (No. 221)
Asymmetric unit:
Lu: 0.000 0.000 0.500 [3 per cell]
Be: 0.500 0.500 0.500 [1 per cell]
P: 0.000 0.000 0.000 [1 per cell]

***

# 26
## LuBePb (PBE)

Data for LuBePb after structural relaxation.

Output
ΔE to the lowest computed polymorph = 0.000 eV/atom

Cell: 6.370 6.370 6.370 Å, 90.00 90.00 90.00°
Space group F-43m (No. 216)
Asymmetric unit:
Lu: 0.000 0.000 0.000 [4 per cell]
Be: 0.250 0.250 0.250 [4 per cell]
Pb: 0.000 0.000 0.500 [4 per cell]

***

# 27
## LuBe2Pb (PBE)

Data for LuBe2Pb after structural relaxation.

Output
Total energy = -3.39 eV/atom

Cell: 6.723 6.723 6.723 Å, 90.00 90.00 90.00°
Space group F-43m (No. 216)
Asymmetric unit:
Lu: 0.000 0.000 0.000 [4 per cell]
Be: 0.000 0.000 0.500 [4 per cell]
Be: 0.250 0.250 0.250 [4 per cell]
Pb: 0.250 0.250 0.750 [4 per cell]

***

# 28
## LuBePb (PBE)

Data for LuBePb after structural relaxation.

Output
ΔE to the lowest computed polymorph = 0.481 eV/atom

Cell: 6.787 6.787 6.787 Å, 90.00 90.00 90.00°
Space group F-43m (No. 216)
Asymmetric unit:
Lu: 0.000 0.000 0.000 [4 per cell]
Be: 0.250 0.250 0.750 [4 per cell]
Pb: 0.250 0.250 0.250 [4 per cell]

***

# 29
## LuBePd (PBE)

Data for LuBePd after structural relaxation.

Output
ΔE to the lowest computed polymorph = 0.000 eV/atom

Cell: 6.183 6.183 6.183 Å, 90.00 90.00 90.00°
Space group F-43m (No. 216)
Asymmetric unit:
Lu: 0.000 0.000 0.000 [4 per cell]
Be: 0.000 0.000 0.500 [4 per cell]
Pd: 0.250 0.250 0.750 [4 per cell]

***

# 30
## LuBePd2 (PBE)

Data for LuBePd2 after structural relaxation.

Output
Total energy = -5.04 eV/atom

Cell: 6.387 6.387 6.387 Å, 90.00 90.00 90.00°
Space group F-43m (No. 216)
Asymmetric unit:
Lu: 0.000 0.000 0.000 [4 per cell]
Be: 0.250 0.250 0.750 [4 per cell]
Pd: 0.000 0.000 0.500 [4 per cell]
Pd: 0.250 0.250 0.250 [4 per cell]

***

The following V values (in Å³ per atom) correspond, in order, to the records above: 16.74 13.90 17.88 17.40 17.60 16.66 15.75 16.91 13.77 14.20 16.94 16.21 19.07 14.68 22.98 11.71 18.83 17.49 19.97 17.19 17.11 17.77 16.03 16.71 26.29 21.54 18.99 26.06 19.69 16.28.